This record from Alexandria via LeMat-Bulk describes La2Br5 at its PBEsol-relaxed geometry. The functional is meta-GGA SCAN.

a = 7.7660 Å, b = 4.2091 Å, c = 13.3896 Å
α = 90.00°, β = 91.04°, γ = 90.00°
With the nearest neighbours (Å) after each atom.
Sites, in units of the cell vectors:
La 0.0660 0.2500 0.3375  8 Br 3.01-3.34
La 0.4279 0.7500 0.1582  7 Br 2.99-3.09
La 0.5721 0.2500 0.8418  7 Br 2.99-3.09
La 0.9340 0.7500 0.6625  8 Br 3.01-3.34
Br 0.0437 0.7500 0.1758  3 La 3.00-3.02
Br 0.1544 0.2500 0.5665  3 La 3.01-3.13
Br 0.3071 0.2500 0.0111  3 La 3.02-3.09
Br 0.3264 0.7500 0.7685  3 La 2.99-3.34
Br 0.3425 0.7500 0.3768  3 La 3.01-3.05
Br 0.6575 0.2500 0.6232  3 La 3.01-3.05
Br 0.6736 0.2500 0.2315  3 La 2.99-3.34
Br 0.6929 0.7500 0.9889  3 La 3.02-3.09
Br 0.8456 0.7500 0.4335  3 La 3.01-3.13
Br 0.9563 0.2500 0.8242  3 La 3.00-3.02

Properties
Its volume is 437.61 Å³ per cell. The total energy is -28.38 eV/atom. The value obtained for the density of states at the Fermi level is 0.3 states/eV per cell.